No. 1
BaMgTa2Ge: relaxed, PBE.

Structure (CIF):
```
data_BaMgTa2Ge
_chemical_formula_sum 'Ba1 Mg1 Ta2 Ge1'
_cell_length_a 5.1071
_cell_length_b 5.1071
_cell_length_c 5.0475
_cell_angle_alpha 90.00
_cell_angle_beta 90.00
_cell_angle_gamma 90.00
_symmetry_space_group_name_H-M 'P 4/m m m'
_symmetry_Int_Tables_number 123
_symmetry_space_group_name_Hall '-P 4 2'
loop_
_atom_site_label
_atom_site_fract_x
_atom_site_fract_y
_atom_site_fract_z
_atom_site_occupancy
Ba1 0.0000 0.0000 0.0000 1
Mg1 0.5000 0.5000 0.5000 1
Ta1 0.0000 0.5000 0.5000 1
Ge1 0.5000 0.5000 0.0000 1
```

No. 2
Ba2Mg3TlGe4: relaxed, PBE.

Structure (CIF):
```
data_Ba2Mg3TlGe4
_chemical_formula_sum 'Ba2 Mg3 Tl1 Ge4'
_cell_length_a 4.7947
_cell_length_b 4.7947
_cell_length_c 11.3877
_cell_angle_alpha 90.00
_cell_angle_beta 90.00
_cell_angle_gamma 90.00
_symmetry_space_group_name_H-M 'P -4 m 2'
_symmetry_Int_Tables_number 115
loop_
_symmetry_equiv_pos_as_xyz
'x,y,z'
'y,-x,-z'
'-x,-y,z'
'-y,x,-z'
'-x,y,z'
'-y,-x,-z'
'x,-y,z'
'y,x,-z'
loop_
_atom_site_label
_atom_site_fract_x
_atom_site_fract_y
_atom_site_fract_z
_atom_site_occupancy
Ba1 0.0000 0.5000 0.2392 1
Mg1 0.0000 0.5000 0.8810 1
Mg2 0.5000 0.5000 0.5000 1
Tl1 0.0000 0.0000 0.5000 1
Ge1 0.0000 0.0000 0.0000 1
Ge2 0.0000 0.5000 0.6420 1
Ge3 0.5000 0.5000 0.0000 1
```

No. 3
Ba2Mg3ZnGe4: relaxed, PBE.

Structure (CIF):
```
data_Ba2Mg3ZnGe4
_chemical_formula_sum 'Ba2 Mg3 Zn1 Ge4'
_cell_length_a 4.6215
_cell_length_b 4.6215
_cell_length_c 11.4219
_cell_angle_alpha 90.00
_cell_angle_beta 90.00
_cell_angle_gamma 90.00
_symmetry_space_group_name_H-M 'P -4 m 2'
_symmetry_Int_Tables_number 115
loop_
_symmetry_equiv_pos_as_xyz
'x,y,z'
'y,-x,-z'
'-x,-y,z'
'-y,x,-z'
'-x,y,z'
'-y,-x,-z'
'x,-y,z'
'y,x,-z'
loop_
_atom_site_label
_atom_site_fract_x
_atom_site_fract_y
_atom_site_fract_z
_atom_site_occupancy
Ba1 0.0000 0.5000 0.2451 1
Mg1 0.0000 0.0000 0.0000 1
Mg2 0.0000 0.5000 0.6329 1
Zn1 0.5000 0.5000 0.0000 1
Ge1 0.0000 0.0000 0.5000 1
Ge2 0.0000 0.5000 0.8703 1
Ge3 0.5000 0.5000 0.5000 1
```

No. 4
BaMgZnGe2: relaxed, PBE.

Structure (CIF):
```
data_BaMgZnGe2
_chemical_formula_sum 'Ba2 Mg2 Zn2 Ge4'
_cell_length_a 4.6255
_cell_length_b 4.6255
_cell_length_c 11.0771
_cell_angle_alpha 90.00
_cell_angle_beta 90.00
_cell_angle_gamma 90.00
_symmetry_space_group_name_H-M 'I -4 m 2'
_symmetry_Int_Tables_number 119
_symmetry_space_group_name_Hall 'I -4 -2'
loop_
_atom_site_label
_atom_site_fract_x
_atom_site_fract_y
_atom_site_fract_z
_atom_site_occupancy
Ba1 0.0000 0.0000 0.0000 1
Mg1 0.0000 0.5000 0.2500 1
Zn1 0.0000 0.5000 0.7500 1
Ge1 0.0000 0.0000 0.3816 1
```

No. 5
BaMnGe: relaxed, PBE.

Structure (CIF):
```
data_BaMnGe
_chemical_formula_sum 'Ba2 Mn2 Ge2'
_cell_length_a 4.4983
_cell_length_b 4.4983
_cell_length_c 7.8911
_cell_angle_alpha 90.00
_cell_angle_beta 90.00
_cell_angle_gamma 90.00
_symmetry_space_group_name_H-M 'P 4/n m m'
_symmetry_Int_Tables_number 129
loop_
_symmetry_equiv_pos_as_xyz
'x,y,z'
'-x,-y,-z'
'-y+1/2,x,z'
'y+1/2,-x,-z'
'-x+1/2,-y+1/2,z'
'x+1/2,y+1/2,-z'
'y,-x+1/2,z'
'-y,x+1/2,-z'
'x+1/2,-y,-z'
'-x+1/2,y,z'
'-y,-x,-z'
'y,x,z'
'-x,y+1/2,-z'
'x,-y+1/2,z'
'y+1/2,x+1/2,-z'
'-y+1/2,-x+1/2,z'
loop_
_atom_site_label
_atom_site_fract_x
_atom_site_fract_y
_atom_site_fract_z
_atom_site_occupancy
Ba1 0.2500 0.2500 0.1751 1
Mn1 0.2500 0.7500 0.5000 1
Ge1 0.2500 0.2500 0.6608 1
```

No. 6
BaMn2Ge: relaxed, PBE.

Structure (CIF):
```
data_BaMn2Ge
_chemical_formula_sum 'Ba4 Mn8 Ge4'
_cell_length_a 6.2826
_cell_length_b 6.2826
_cell_length_c 19.4286
_cell_angle_alpha 90.00
_cell_angle_beta 90.00
_cell_angle_gamma 90.00
_symmetry_space_group_name_H-M 'I -4 2 d'
_symmetry_Int_Tables_number 122
_symmetry_space_group_name_Hall 'I -4 2bw'
loop_
_atom_site_label
_atom_site_fract_x
_atom_site_fract_y
_atom_site_fract_z
_atom_site_occupancy
Ba1 0.0000 0.0000 0.0000 1
Mn1 0.0026 0.7500 0.6250 1
Ge1 0.0000 0.0000 0.5000 1
```

Number 1: total moment 2.15 Bohr magnetons per cell, formation enthalpy at 0 K 1.485 eV per atom, total energy -4.883 eV/atom. Number 2: total moment 0.00 Bohr magnetons per cell, formation enthalpy at 0 K -0.371 eV per atom, total energy -3.317 eV/atom. Number 3: total moment 0.00 Bohr magnetons per cell, formation enthalpy at 0 K -0.417 eV per atom, total energy -3.254 eV/atom. Number 4: total moment 0.00 Bohr magnetons per cell, formation enthalpy at 0 K -0.424 eV per atom, total energy -3.229 eV/atom. Number 5: total moment 7.26 Bohr magnetons per cell, formation enthalpy at 0 K -0.231 eV per atom, total energy -5.467 eV/atom. Number 6: total moment 35.23 Bohr magnetons per cell, formation enthalpy at 0 K 0.905 eV per atom, total energy -5.315 eV/atom.